[1]
DFT (PBE) results for crystalline CoSbPt at its relaxed geometry. Values from VASP.

Geometry as Quantum ESPRESSO input:
```
&SYSTEM
  ibrav = 0, nat = 6, ntyp = 3
/
ATOMIC_SPECIES
Sb 121.76 Sb.upf
Co 58.93 Co.upf
Pt 195.08 Pt.upf
CELL_PARAMETERS angstrom
-1.897 -1.610 3.252
-2.164 1.829 -2.934
11.608 -10.981 1.336
ATOMIC_POSITIONS angstrom
Sb 0.914 -3.778 1.241
Co 10.581 -10.534 0.958
Co -3.034 -0.227 0.695
Sb 6.633 -6.984 0.413
Pt 8.612 -8.779 0.679
Pt -1.065 -1.983 0.975
```

Formation energy from raw total energies, meV per atom: -134
Crystal system: monoclinic
Symmetry: C2/m

[2]
DFT (PBE) results for crystalline BeCrTc2 at its relaxed geometry. Values from VASP.

Geometry as Quantum ESPRESSO input:
```
&SYSTEM
  ibrav = 0, nat = 8, ntyp = 3
/
ATOMIC_SPECIES
Be 9.01 Be.upf
Tc 98.00 Tc.upf
Cr 52.00 Cr.upf
CELL_PARAMETERS angstrom
6.302 0.000 0.000
0.000 6.302 0.000
3.151 3.151 2.677
ATOMIC_POSITIONS angstrom
Be 3.151 3.151 0.000
Tc 4.723 1.576 0.669
Cr 0.000 0.000 0.000
Tc 7.878 7.874 2.008
Be 3.151 6.302 1.339
Tc 4.727 4.731 2.008
Tc 1.579 4.727 0.669
Cr 6.302 3.151 1.339
```

Crystal system: tetragonal
Symmetry: I-42d
ΔE_f, eV/atom: 0.57

[3]
DFT (PBE) results for crystalline SiHg2Te at its relaxed geometry. Values from VASP.

Geometry as Quantum ESPRESSO input:
```
&SYSTEM
  ibrav = 0, nat = 4, ntyp = 3
/
ATOMIC_SPECIES
Si 28.09 Si.upf
Hg 200.59 Hg.upf
Te 127.60 Te.upf
CELL_PARAMETERS angstrom
-3.357 6.850 2.675
-2.297 3.496 6.918
5.254 -3.866 -4.775
ATOMIC_POSITIONS angstrom
Si -2.562 4.688 4.346
Hg -0.164 0.301 0.279
Te -0.396 3.244 4.251
Hg -0.106 3.420 0.737
```

Formation energy from raw total energies, meV per atom: 208
Crystal system: orthorhombic
Symmetry: Imm2
Energy above the lowest structure with this stoichiometry, meV per atom: 93.1

no.,total energy (eV/atom),theoretical density (g cm⁻³)
1,-5.890,10.86
2,-7.946,8.03
3,-2.084,8.06